No. 1
DFT (GGA-PBE) results for a relaxed HoAl2Au crystal.

Cell: 4.2827 4.2650 4.2650 Å, 90.00 90.00 90.00°
Sites, in units of the cell vectors:
Au (0.5000, 0.0000, 0.0000)
Ho (0.5000, 0.5000, 0.5000)
Al (0.0000, 0.0000, 0.5000)
Al (0.0000, 0.5000, 0.0000)

Computed properties:
symmetry = No. 123
total moment = 0.000 μB per atom
E_form = -517 meV per atom

***

No. 2
DFT (GGA-PBE) results for a relaxed Ho2AlAu8 crystal.

Cell: 4.9788 6.6422 7.7797 Å, 115.31 108.66 90.00°
Sites, in units of the cell vectors:
Ho (0.7994, 0.2989, 0.5988)
Ho (0.2006, 0.7011, 0.4012)
Al (0.5000, 0.0000, 0.0000)
Au (0.3757, 0.5885, 0.7514)
Au (0.6240, 0.8366, 0.2479)
Au (0.8232, 0.8233, 0.6463)
Au (0.0001, 0.2614, 0.0002)
Au (0.1768, 0.1767, 0.3537)
Au (0.3760, 0.1634, 0.7521)
Au (0.6243, 0.4115, 0.2486)
Au (0.9999, 0.7386, 0.9998)

Computed properties:
symmetry = No. 71
total moment = 0.000 μB per atom
E_form = -568 meV per atom

***

No. 3
DFT (GGA-PBE) results for a relaxed Ho3Al5Au6 crystal.

Cell: 4.3971 9.4265 13.1718 Å, 90.00 90.00 90.00°
Sites, in units of the cell vectors:
Ho (0.0000, 0.2522, 0.6994)
Ho (0.5000, 0.7478, 0.1994)
Ho (0.5000, 0.7478, 0.8006)
Ho (0.0000, 0.2349, 0.0000)
Ho (0.5000, 0.7651, 0.5000)
Ho (0.0000, 0.2522, 0.3006)
Al (0.0000, 0.5214, 0.8648)
Al (0.0000, 0.8952, 0.6679)
Al (0.0000, 0.7582, 0.0000)
Al (0.5000, 0.4786, 0.6352)
Al (0.5000, 0.2418, 0.5000)
Al (0.0000, 0.5214, 0.1352)
Al (0.5000, 0.4786, 0.3648)
Al (0.0000, 0.8952, 0.3321)
Al (0.5000, 0.1048, 0.8321)
Al (0.5000, 0.1048, 0.1679)
Au (0.0000, 0.9668, 0.8593)
Au (0.5000, 0.0332, 0.6407)
Au (0.5000, 0.3748, 0.8367)
Au (0.5000, 0.5856, 0.0000)
Au (0.0000, 0.4144, 0.5000)
Au (0.0000, 0.6252, 0.6633)
Au (0.0000, 0.6252, 0.3367)
Au (0.5000, 0.9499, 0.0000)
Au (0.0000, 0.9668, 0.1407)
Au (0.5000, 0.3748, 0.1633)
Au (0.0000, 0.0501, 0.5000)
Au (0.5000, 0.0332, 0.3593)

Computed properties:
symmetry = No. 59
total moment = 0.000 μB per atom
E_form = -688 meV per atom

***

No. 4
DFT (GGA-PBE) results for a relaxed HoAl3Au4 crystal.

Cell: 4.3621 4.3621 8.2085 Å, 90.00 90.00 90.00°
Sites, in units of the cell vectors:
Au (0.0000, 0.5000, 0.1844)
Au (0.0000, 0.5000, 0.8156)
Au (0.5000, 0.0000, 0.8156)
Au (0.5000, 0.0000, 0.1844)
Ho (0.0000, 0.0000, 0.5000)
Al (0.0000, 0.0000, 0.0000)
Al (0.5000, 0.5000, 0.3469)
Al (0.5000, 0.5000, 0.6531)

Computed properties:
symmetry = No. 123
total moment = 0.000 μB per atom
E_form = -497 meV per atom

***

No. 5
DFT (GGA-PBE) results for a relaxed HoAl8Au2 crystal.

Cell: 5.0446 9.0979 9.0979 Å, 35.92 57.87 57.87°
Sites, in units of the cell vectors:
Ho (0.0000, 0.0000, 0.0000)
Al (0.3195, 0.3530, 0.8387)
Al (0.6805, 0.1613, 0.6470)
Al (0.2475, 0.7865, 0.7865)
Al (0.7525, 0.2135, 0.2135)
Al (0.3195, 0.8387, 0.3530)
Al (0.6805, 0.6470, 0.1613)
Al (0.8178, 0.5951, 0.5951)
Al (0.1822, 0.4049, 0.4049)
Au (0.7990, 0.7548, 0.7548)
Au (0.2010, 0.2452, 0.2452)

Computed properties:
symmetry = No. 12
total moment = 0.000 μB per atom
E_form = -205 meV per atom

***

No. 6
DFT (GGA-PBE) results for a relaxed Ho4AlAu2 crystal.

Cell: 4.9231 4.9231 9.4200 Å, 74.85 74.85 60.00°
Sites, in units of the cell vectors:
Ho (0.7068, 0.7068, 0.8796)
Ho (0.8777, 0.8777, 0.3670)
Ho (0.2932, 0.2932, 0.1204)
Ho (0.1223, 0.1223, 0.6330)
Al (0.5000, 0.5000, 0.5000)
Au (0.5974, 0.5974, 0.2079)
Au (0.4026, 0.4026, 0.7921)

Computed properties:
symmetry = No. 166
total moment = 0.000 μB per atom
E_form = -459 meV per atom

***

No. 7
DFT (GGA-PBE) results for a relaxed Ho2AlAu3 crystal.

Cell: 5.7585 5.7585 8.7320 Å, 103.43 103.43 107.18°
Sites, in units of the cell vectors:
Ho (0.2500, 0.7500, 0.5000)
Ho (0.7562, 0.7562, 0.0000)
Ho (0.7500, 0.2500, 0.5000)
Ho (0.2438, 0.2438, 0.0000)
Al (0.6670, 0.6670, 0.3340)
Al (0.3330, 0.3330, 0.6660)
Au (0.3501, 0.8237, 0.1738)
Au (0.1763, 0.6499, 0.8262)
Au (0.6499, 0.1763, 0.8262)
Au (0.8237, 0.3501, 0.1738)
Au (0.1738, 0.1738, 0.3475)
Au (0.8262, 0.8262, 0.6525)

Computed properties:
symmetry = No. 69
total moment = 0.000 μB per atom
E_form = -781 meV per atom

***

No. 8
DFT (GGA-PBE) results for a relaxed HoAl6Au3 crystal.

Cell: 4.2692 8.5274 10.4249 Å, 96.84 90.00 90.00°
Sites, in units of the cell vectors:
Ho (0.7500, 0.9917, 0.7665)
Ho (0.2500, 0.0083, 0.2335)
Al (0.7500, 0.4068, 0.5786)
Al (0.2500, 0.5932, 0.4214)
Al (0.7500, 0.8453, 0.0533)
Al (0.2500, 0.1547, 0.9467)
Al (0.7500, 0.4855, 0.0882)
Al (0.2500, 0.5145, 0.9118)
Al (0.7500, 0.7804, 0.3129)
Al (0.2500, 0.2196, 0.6871)
Al (0.7500, 0.0820, 0.4592)
Al (0.2500, 0.9180, 0.5408)
Al (0.7500, 0.6525, 0.7897)
Al (0.2500, 0.3475, 0.2103)
Au (0.7500, 0.3499, 0.8323)
Au (0.2500, 0.6501, 0.1677)
Au (0.7500, 0.7073, 0.5495)
Au (0.2500, 0.2927, 0.4505)
Au (0.7500, 0.1828, 0.0928)
Au (0.2500, 0.8172, 0.9072)

Computed properties:
symmetry = No. 11
total moment = 0.000 μB per atom
E_form = -393 meV per atom

***

No. 9
DFT (GGA-PBE) results for a relaxed Ho5AlAu4 crystal.

Cell: 3.5665 3.5665 18.1138 Å, 90.00 90.00 90.00°
Sites, in units of the cell vectors:
Ho (0.5000, 0.5000, 0.1019)
Ho (0.5000, 0.5000, 0.3000)
Ho (0.5000, 0.5000, 0.5000)
Ho (0.5000, 0.5000, 0.7000)
Ho (0.5000, 0.5000, 0.8981)
Al (0.0000, 0.0000, 0.0000)
Au (0.0000, 0.0000, 0.1978)
Au (0.0000, 0.0000, 0.4011)
Au (0.0000, 0.0000, 0.5989)
Au (0.0000, 0.0000, 0.8022)

Computed properties:
symmetry = No. 123
total moment = 0.000 μB per atom
E_form = -774 meV per atom

***

No. 10
DFT (GGA-PBE) results for a relaxed Ho2Al6Au21 crystal.

Cell: 9.1777 9.1778 9.1777 Å, 60.00 60.00 60.00°
Sites, in units of the cell vectors:
Ho (0.7500, 0.7500, 0.7500)
Ho (0.2500, 0.2500, 0.2500)
Al (0.2698, 0.7302, 0.2698)
Al (0.7302, 0.2698, 0.2698)
Al (0.7302, 0.7302, 0.2698)
Al (0.7302, 0.2698, 0.7302)
Al (0.2698, 0.7302, 0.7302)
Al (0.2698, 0.2698, 0.7302)
Au (0.0000, 0.0000, 0.0000)
Au (0.6201, 0.6201, 0.1398)
Au (0.6201, 0.6201, 0.6201)
Au (0.6201, 0.1398, 0.6201)
Au (0.1398, 0.6201, 0.6201)
Au (0.3799, 0.3799, 0.8602)
Au (0.3799, 0.3799, 0.3799)
Au (0.3799, 0.8602, 0.3799)
Au (0.8602, 0.3799, 0.3799)
Au (0.6568, 0.0000, 0.3432)
Au (0.0000, 0.6568, 0.3432)
Au (0.0000, 0.0000, 0.3432)
Au (0.0000, 0.6568, 0.0000)
Au (0.6568, 0.0000, 0.0000)
Au (0.0000, 0.0000, 0.6568)
Au (0.0000, 0.3432, 0.0000)
Au (0.0000, 0.3432, 0.6568)
Au (0.6568, 0.3432, 0.0000)
Au (0.3432, 0.0000, 0.6568)
Au (0.3432, 0.0000, 0.0000)
Au (0.3432, 0.6568, 0.0000)

Computed properties:
symmetry = No. 225
total moment = 0.000 μB per atom
E_form = -275 meV per atom

***

No. 11
DFT (GGA-PBE) results for a relaxed Ho8Al2Au crystal.

Cell: 5.0193 6.6353 9.5950 Å, 102.08 105.16 90.00°
Sites, in units of the cell vectors:
Ho (0.4058, 0.5374, 0.8116)
Ho (0.6549, 0.9747, 0.3098)
Ho (0.7902, 0.6932, 0.5804)
Ho (0.9770, 0.2293, 0.9541)
Ho (0.2098, 0.3068, 0.4196)
Ho (0.3451, 0.0253, 0.6902)
Ho (0.5942, 0.4626, 0.1884)
Ho (0.0230, 0.7707, 0.0459)
Al (0.8117, 0.2477, 0.6234)
Al (0.1883, 0.7523, 0.3766)
Au (0.5000, 0.0000, 0.0000)

Computed properties:
symmetry = No. 12
total moment = 0.000 μB per atom
E_form = -271 meV per atom

***

No. 12
DFT (GGA-PBE) results for a relaxed Ho3Al9Au2 crystal.

Cell: 4.2751 8.2752 8.2752 Å, 76.44 75.03 75.03°
Sites, in units of the cell vectors:
Ho (0.0000, 0.0000, 0.0000)
Ho (0.6891, 0.3109, 0.3109)
Ho (0.3109, 0.6891, 0.6891)
Al (0.0000, 0.5000, 0.5000)
Al (0.6605, 0.9649, 0.7140)
Al (0.3395, 0.0351, 0.2860)
Al (0.6605, 0.7140, 0.9649)
Al (0.3395, 0.2860, 0.0351)
Al (0.8653, 0.8556, 0.4138)
Al (0.1347, 0.1444, 0.5862)
Al (0.8653, 0.4138, 0.8556)
Al (0.1347, 0.5862, 0.1444)
Au (0.5000, 0.2904, 0.7096)
Au (0.5000, 0.7096, 0.2904)

Computed properties:
symmetry = No. 71
total moment = 0.000 μB per atom
E_form = -508 meV per atom

***

No. 13
DFT (GGA-PBE) results for a relaxed Ho2Al3Au crystal.

Cell: 4.5163 5.6945 5.8047 Å, 76.95 67.11 66.64°
Sites, in units of the cell vectors:
Ho (0.5380, 0.2114, 0.7125)
Ho (0.4560, 0.7904, 0.2976)
Al (0.8420, 0.6165, 0.6995)
Al (0.8342, 0.2211, 0.1106)
Al (0.1632, 0.7811, 0.8926)
Au (0.1667, 0.3795, 0.2871)

Computed properties:
symmetry = No. 8
total moment = 0.000 μB per atom
E_form = -632 meV per atom

***

No. 14
DFT (GGA-PBE) results for a relaxed Ho2Al3Au crystal.

Cell: 5.7479 5.7479 9.0810 Å, 113.07 113.07 76.22°
Sites, in units of the cell vectors:
Ho (0.7500, 0.2500, 0.5000)
Ho (0.7478, 0.2522, 0.0000)
Ho (0.2500, 0.7500, 0.5000)
Ho (0.2522, 0.7478, 0.0000)
Al (0.8307, 0.8307, 0.1663)
Al (0.6644, 0.6644, 0.8337)
Al (0.1693, 0.1693, 0.8337)
Al (0.3356, 0.3356, 0.1663)
Al (0.1658, 0.1658, 0.3315)
Al (0.8342, 0.8342, 0.6685)
Au (0.6689, 0.6689, 0.3378)
Au (0.3311, 0.3311, 0.6622)

Computed properties:
symmetry = No. 69
total moment = 0.000 μB per atom
E_form = -617 meV per atom

***

No. 15
DFT (GGA-PBE) results for a relaxed Ho2AlAu4 crystal.

Cell: 4.8631 4.8631 8.1722 Å, 72.69 72.69 60.00°
Sites, in units of the cell vectors:
Au (0.8821, 0.8821, 0.3537)
Au (0.1179, 0.1179, 0.6463)
Au (0.6267, 0.6267, 0.1198)
Au (0.3733, 0.3733, 0.8802)
Ho (0.7536, 0.7536, 0.7392)
Ho (0.2464, 0.2464, 0.2608)
Al (0.0000, 0.0000, 0.0000)

Computed properties:
symmetry = No. 166
total moment = 0.000 μB per atom
E_form = -626 meV per atom

***

No. 16
DFT (GGA-PBE) results for a relaxed Ho2Al3Au4 crystal.

Cell: 7.2790 6.7070 7.5510 Å, 90.00 90.00 107.87°
Sites, in units of the cell vectors:
Ho (0.5575, 0.1898, 0.3060)
Ho (0.9425, 0.8102, 0.8060)
Ho (0.4425, 0.8102, 0.6940)
Ho (0.0575, 0.1898, 0.1940)
Al (0.0000, 0.5000, 0.5000)
Al (0.5000, 0.5000, 0.0000)
Al (0.7403, 0.2361, 0.9044)
Al (0.7597, 0.7639, 0.4044)
Al (0.2597, 0.7639, 0.0956)
Al (0.2403, 0.2361, 0.5956)
Au (0.8287, 0.1157, 0.5837)
Au (0.6713, 0.8843, 0.0837)
Au (0.1713, 0.8843, 0.4163)
Au (0.3287, 0.1157, 0.9163)
Au (0.8790, 0.5494, 0.1530)
Au (0.6210, 0.4506, 0.6530)
Au (0.1210, 0.4506, 0.8470)
Au (0.3790, 0.5494, 0.3470)

Computed properties:
symmetry = No. 14
E above lowest polymorph = 0.0 kJ/mol of atoms
total moment = 0.000 μB per atom
E_form = -704 meV per atom

***

No. 17
DFT (GGA-PBE) results for a relaxed Ho2Al3Au2 crystal.

Cell: 4.3317 5.6845 6.8299 Å, 112.63 90.00 112.40°
Sites, in units of the cell vectors:
Ho (0.8525, 0.7050, 0.2193)
Ho (0.1475, 0.2950, 0.7807)
Al (0.5000, 0.0000, 0.0000)
Al (0.6038, 0.2077, 0.4317)
Al (0.3962, 0.7923, 0.5683)
Au (0.8500, 0.7001, 0.7627)
Au (0.1500, 0.2999, 0.2373)

Computed properties:
symmetry = No. 12
total moment = 0.000 μB per atom
E_form = -690 meV per atom

***

No. 18
DFT (GGA-PBE) results for a relaxed Ho3Al7Au4 crystal.

Cell: 4.3132 8.2797 8.3778 Å, 71.33 75.08 74.90°
Sites, in units of the cell vectors:
Ho (0.3099, 0.1912, 0.1890)
Ho (0.6901, 0.8088, 0.8110)
Ho (0.0000, 0.5000, 0.5000)
Al (0.3252, 0.8186, 0.5309)
Al (0.4971, 0.2069, 0.7989)
Al (0.8480, 0.3788, 0.9252)
Al (0.6748, 0.1814, 0.4691)
Al (0.1520, 0.6212, 0.0748)
Al (0.0000, 0.0000, 0.0000)
Al (0.5029, 0.7931, 0.2011)
Au (0.6544, 0.4651, 0.2261)
Au (0.3456, 0.5349, 0.7739)
Au (0.8739, 0.9031, 0.3490)
Au (0.1261, 0.0969, 0.6510)

Computed properties:
symmetry = No. 12
total moment = 0.000 μB per atom
E_form = -677 meV per atom

***

No. 19
DFT (GGA-PBE) results for a relaxed Ho6Al2Au crystal.

Cell: 4.9659 7.0962 8.6463 Å, 114.23 106.70 90.00°
Sites, in units of the cell vectors:
Ho (0.1641, 0.4101, 0.3290)
Ho (0.8359, 0.0812, 0.6710)
Ho (0.8359, 0.5899, 0.6710)
Ho (0.5000, 0.2439, 0.0000)
Ho (0.1641, 0.9188, 0.3290)
Ho (0.5000, 0.7561, 0.0000)
Al (0.6662, 0.6666, 0.3332)
Al (0.3338, 0.3334, 0.6668)
Au (0.0000, 0.0000, 0.0000)

Computed properties:
symmetry = No. 71
total moment = 0.000 μB per atom
E_form = -176 meV per atom

***

No. 20
DFT (GGA-PBE) results for a relaxed HoAl7Au3 crystal.

Cell: 8.4478 8.4478 8.4478 Å, 57.21 57.21 57.21°
Sites, in units of the cell vectors:
Ho (0.0000, 0.0000, 0.0000)
Ho (0.5000, 0.5000, 0.5000)
Al (0.9297, 0.1474, 0.3330)
Al (0.3330, 0.9297, 0.1474)
Al (0.1474, 0.3330, 0.9297)
Al (0.5703, 0.1670, 0.3526)
Al (0.3526, 0.5703, 0.1670)
Al (0.1670, 0.3526, 0.5703)
Al (0.0703, 0.8526, 0.6670)
Al (0.6670, 0.0703, 0.8526)
Al (0.7500, 0.7500, 0.7500)
Al (0.2500, 0.2500, 0.2500)
Al (0.8330, 0.6474, 0.4297)
Al (0.6474, 0.4297, 0.8330)
Al (0.4297, 0.8330, 0.6474)
Al (0.8526, 0.6670, 0.0703)
Au (0.2500, 0.5740, 0.9260)
Au (0.9260, 0.2500, 0.5740)
Au (0.5740, 0.9260, 0.2500)
Au (0.7500, 0.4260, 0.0740)
Au (0.0740, 0.7500, 0.4260)
Au (0.4260, 0.0740, 0.7500)

Computed properties:
symmetry = No. 167
total moment = 0.000 μB per atom
E_form = -510 meV per atom